Material: Sc2TcBr
Method: DFT, PBE
State: optimized geometry

a b c (Å): 5.2934 5.2934 5.2934
angles (deg): 141.63 119.44 74.01
Closest atoms and distances in Å follow each position.
Sites, in units of the cell vectors:
1 Br 0.7500 0.2500 0.5000  4 Sc 2.80
2 Sc 0.4899 0.4899 0.0000  2 Tc 2.67, 2 Br 2.80
3 Tc 0.2500 0.7500 0.5000  4 Sc 2.67
4 Sc 0.0101 0.0101 0.0000  2 Tc 2.67, 2 Br 2.80

Computed properties:
**Formation energy without anion corrections**: -13.0 meV/atom
**Space group**: Immm, No. 71
**VASP energy**: -6.19 eV/atom